Record 1
Below is a relaxed structure of Ti2SnAu, with properties calculated at the GGA-PBE level.

Calculated values
The energy of formation from the pure elements comes out at -91 meV per atom. For the volume, the calculation gives 76.2 Å³ per cell.

Cell lengths 3.120, 3.120, 9.222 Å; angles 80.26, 80.26, 60.00 degrees
Atoms (fractional coordinates):
Au 0.000 0.000 0.000
Sn 0.500 0.500 0.500
Ti 0.254 0.254 0.239
Ti 0.746 0.746 0.761


Record 2
Below is a relaxed structure of TiSnAu, with properties calculated at the GGA-PBE level.

Calculated values
The energy of formation from the pure elements comes out at -208 meV per atom. For the volume, the calculation gives 57.9 Å³ per cell.

Cell lengths 3.150, 4.609, 4.609 Å; angles 120.00, 90.00, 90.00 degrees
Atoms (fractional coordinates):
Au 0.421 0.333 0.667
Sn 0.563 0.667 0.333
Ti 0.017 0.000 0.000


Record 3
Below is a relaxed structure of Ti2SnAu, with properties calculated at the GGA-PBE level.

Calculated values
The energy of formation from the pure elements comes out at -282 meV per atom. For the volume, the calculation gives 72.5 Å³ per cell.

Cell lengths 2.997, 2.997, 8.069 Å; angles 90.00, 90.00, 90.00 degrees
Atoms (fractional coordinates):
Au 0.500 0.500 0.000
Sn 0.500 0.500 0.500
Ti 0.000 0.000 0.760
Ti 0.000 0.000 0.240


Record 4
Below is a relaxed structure of TmTiSnAu, with properties calculated at the GGA-PBE level.

Calculated values
The energy of formation from the pure elements comes out at -443 meV per atom. For the volume, the calculation gives 86.0 Å³ per cell.

Cell lengths 4.954, 4.954, 4.954 Å; angles 60.00, 60.00, 60.00 degrees
Each line ends with the local moment (μB).
Atoms (fractional coordinates):
Tm 0.750 0.750 0.750  0.20
Au 0.000 0.000 0.000  0.04
Sn 0.500 0.500 0.500  -0.03
Ti 0.250 0.250 0.250  1.34


Record 5
Below is a relaxed structure of Ti2VSnAu, with properties calculated at the GGA-PBE level.

Calculated values
The energy of formation from the pure elements comes out at 1150 meV per atom. For the volume, the calculation gives 122.2 Å³ per cell.

Cell lengths 4.998, 4.894, 4.998 Å; angles 90.00, 90.00, 90.00 degrees
Each line ends with the local moment (μB).
Atoms (fractional coordinates):
Ti 0.000 0.000 0.500  -0.38
Ti 0.500 0.000 0.000  -0.12
Au 0.500 0.500 0.500  0.01
Sn 0.000 0.000 0.000  -0.02
V 0.000 0.500 0.000  2.30


Record 6
Below is a relaxed structure of Tl6Sn12Au, with properties calculated at the GGA-PBE level.

Calculated values
The energy of formation from the pure elements comes out at 59 meV per atom. For the volume, the calculation gives 556.5 Å³ per cell.

Cell lengths 8.370, 8.370, 8.370 Å; angles 99.90, 99.90, 99.90 degrees
Atoms (fractional coordinates):
Tl 0.165 0.163 0.425
Tl 0.837 0.575 0.835
Tl 0.575 0.835 0.837
Tl 0.835 0.837 0.575
Tl 0.163 0.425 0.165
Tl 0.425 0.165 0.163
Sn 0.604 0.179 0.589
Sn 0.179 0.589 0.604
Sn 0.589 0.604 0.179
Sn 0.396 0.821 0.411
Sn 0.821 0.411 0.396
Sn 0.411 0.396 0.821
Sn 0.241 0.999 0.758
Sn 0.242 0.759 0.001
Sn 0.001 0.242 0.759
Sn 0.759 0.001 0.242
Sn 0.758 0.241 0.999
Sn 0.999 0.758 0.241
Au 0.000 0.000 0.000


Record 7
Below is a relaxed structure of TlSn2Au, with properties calculated at the GGA-PBE level.

Calculated values
The energy of formation from the pure elements comes out at 91 meV per atom. For the volume, the calculation gives 101.5 Å³ per cell. Its relative energy among the computed polymorphs is 0.78 eV per formula unit.

Cell lengths 5.236, 5.236, 5.236 Å; angles 60.00, 60.00, 60.00 degrees
Atoms (fractional coordinates):
Tl 0.500 0.500 0.500
Au 0.000 0.000 0.000
Sn 0.250 0.250 0.250
Sn 0.750 0.750 0.750


Record 8
Below is a relaxed structure of Tl6SnAu2, with properties calculated at the GGA-PBE level.

Calculated values
The energy of formation from the pure elements comes out at 11 meV per atom. For the volume, the calculation gives 256.8 Å³ per cell.

Cell lengths 3.452, 8.072, 9.708 Å; angles 79.03, 79.76, 77.65 degrees
Atoms (fractional coordinates):
Tl 0.766 0.356 0.113
Tl 0.234 0.644 0.887
Tl 0.323 0.801 0.554
Tl 0.030 0.658 0.283
Tl 0.970 0.342 0.717
Tl 0.677 0.199 0.446
Sn 0.000 0.000 0.000
Au 0.371 0.008 0.250
Au 0.629 0.992 0.750


Record 9
Below is a relaxed structure of Tl5SnAu2, with properties calculated at the GGA-PBE level.

Calculated values
The energy of formation from the pure elements comes out at -8 meV per atom. For the volume, the calculation gives 448.6 Å³ per cell.

Cell lengths 3.898, 6.710, 17.923 Å; angles 90.00, 90.00, 106.89 degrees
Atoms (fractional coordinates):
Tl 0.947 0.894 0.904
Tl 0.947 0.894 0.596
Tl 0.343 0.685 0.455
Tl 0.343 0.685 0.045
Tl 0.454 0.907 0.250
Tl 0.546 0.093 0.750
Tl 0.657 0.315 0.545
Tl 0.657 0.315 0.955
Tl 0.053 0.106 0.096
Tl 0.053 0.106 0.404
Sn 0.819 0.639 0.750
Sn 0.181 0.361 0.250
Au 0.785 0.569 0.338
Au 0.785 0.569 0.162
Au 0.215 0.431 0.662
Au 0.215 0.431 0.838


Record 10
Below is a relaxed structure of TlSn5Au4, with properties calculated at the GGA-PBE level.

Calculated values
The energy of formation from the pure elements comes out at -84 meV per atom. For the volume, the calculation gives 260.8 Å³ per cell.

Cell lengths 4.552, 7.357, 8.162 Å; angles 83.65, 106.19, 90.00 degrees
Atoms (fractional coordinates):
Tl 0.500 0.000 0.000
Sn 0.177 0.986 0.354
Sn 0.163 0.536 0.325
Sn 0.837 0.464 0.675
Sn 0.500 0.500 0.000
Sn 0.823 0.014 0.646
Au 0.694 0.751 0.387
Au 0.045 0.265 0.090
Au 0.306 0.249 0.613
Au 0.955 0.735 0.910


Record 11
Below is a relaxed structure of TlSn2Au6, with properties calculated at the GGA-PBE level.

Calculated values
The energy of formation from the pure elements comes out at -42 meV per atom. For the volume, the calculation gives 395.5 Å³ per cell.

Cell lengths 6.636, 8.652, 8.652 Å; angles 117.40, 76.71, 76.71 degrees
Atoms (fractional coordinates):
Tl 0.250 0.250 0.750
Tl 0.750 0.750 0.250
Sn 0.500 0.663 0.837
Sn 0.000 0.163 0.337
Sn 0.500 0.337 0.163
Sn 0.000 0.837 0.663
Au 0.492 0.668 0.506
Au 0.008 0.494 0.332
Au 0.508 0.332 0.494
Au 0.992 0.506 0.668
Au 0.252 0.911 0.411
Au 0.248 0.589 0.089
Au 0.748 0.089 0.589
Au 0.752 0.411 0.911
Au 0.009 0.832 0.993
Au 0.491 0.007 0.168
Au 0.991 0.168 0.007
Au 0.509 0.993 0.832


Record 12
Below is a relaxed structure of TlSnAu3, with properties calculated at the GGA-PBE level.

Calculated values
The energy of formation from the pure elements comes out at -14 meV per atom. For the volume, the calculation gives 471.0 Å³ per cell. Its relative energy among the computed polymorphs is 0.01 eV per formula unit.

Cell lengths 7.090, 7.563, 8.800 Å; angles 93.35, 90.00, 90.00 degrees
Atoms (fractional coordinates):
Tl 0.395 0.457 0.307
Tl 0.605 0.543 0.693
Tl 0.895 0.543 0.193
Tl 0.105 0.457 0.807
Sn 0.812 0.155 0.946
Sn 0.188 0.845 0.054
Sn 0.312 0.845 0.554
Sn 0.688 0.155 0.446
Au 0.038 0.946 0.338
Au 0.962 0.054 0.662
Au 0.538 0.054 0.162
Au 0.462 0.946 0.838
Au 0.129 0.212 0.130
Au 0.871 0.788 0.870
Au 0.629 0.788 0.370
Au 0.371 0.212 0.630
Au 0.545 0.676 0.047
Au 0.455 0.324 0.953
Au 0.045 0.324 0.453
Au 0.955 0.676 0.547


Record 13
Below is a relaxed structure of TlSn6Au5, with properties calculated at the GGA-PBE level.

Calculated values
The energy of formation from the pure elements comes out at -126 meV per atom. For the volume, the calculation gives 295.4 Å³ per cell.

Cell lengths 7.669, 6.761, 6.761 Å; angles 118.29, 98.55, 98.55 degrees
Atoms (fractional coordinates):
Tl 0.000 0.000 0.000
Au 0.500 0.874 0.126
Au 0.000 0.688 0.312
Au 0.500 0.500 0.500
Au 0.000 0.312 0.688
Au 0.500 0.126 0.874
Sn 0.714 0.897 0.515
Sn 0.286 0.485 0.103
Sn 0.229 0.689 0.689
Sn 0.771 0.311 0.311
Sn 0.714 0.515 0.897
Sn 0.286 0.103 0.485


Record 14
Below is a relaxed structure of TlSn2Au, with properties calculated at the GGA-PBE level.

Calculated values
The energy of formation from the pure elements comes out at 56 meV per atom. For the volume, the calculation gives 212.2 Å³ per cell. Its relative energy among the computed polymorphs is 0.64 eV per formula unit.

Cell lengths 4.398, 4.398, 11.402 Å; angles 78.88, 78.88, 90.00 degrees
Atoms (fractional coordinates):
Tl 0.000 0.000 0.000
Tl 0.750 0.250 0.500
Au 0.500 0.500 0.000
Au 0.250 0.750 0.500
Sn 0.608 0.125 0.250
Sn 0.142 0.625 0.250
Sn 0.375 0.392 0.750
Sn 0.875 0.858 0.750


Record 15
Below is a relaxed structure of Tl2SnAu2, with properties calculated at the GGA-PBE level.

Calculated values
The energy of formation from the pure elements comes out at -9 meV per atom. For the volume, the calculation gives 253.8 Å³ per cell. Its relative energy among the computed polymorphs is 0.35 eV per formula unit.

Cell lengths 7.541, 7.541, 4.463 Å; angles 90.00, 90.00, 90.00 degrees
Atoms (fractional coordinates):
Tl 0.168 0.668 0.500
Tl 0.668 0.832 0.500
Tl 0.832 0.332 0.500
Tl 0.332 0.168 0.500
Au 0.365 0.865 0.000
Au 0.865 0.635 0.000
Au 0.635 0.135 0.000
Au 0.135 0.365 0.000
Sn 0.000 0.000 0.000
Sn 0.500 0.500 0.000


Record 16
Below is a relaxed structure of TlSn2Au2, with properties calculated at the GGA-PBE level.

Calculated values
The energy of formation from the pure elements comes out at -71 meV per atom. For the volume, the calculation gives 133.6 Å³ per cell. Its relative energy among the computed polymorphs is 0.31 eV per formula unit.

Cell lengths 4.862, 4.862, 6.614 Å; angles 68.43, 68.43, 90.00 degrees
Atoms (fractional coordinates):
Tl 0.000 0.000 0.000
Au 0.378 0.378 0.245
Au 0.622 0.622 0.755
Sn 0.750 0.250 0.500
Sn 0.250 0.750 0.500


Record 17
Below is a relaxed structure of Tl2SnAu2, with properties calculated at the GGA-PBE level.

Calculated values
The energy of formation from the pure elements comes out at 84 meV per atom. For the volume, the calculation gives 131.4 Å³ per cell. Its relative energy among the computed polymorphs is 0.81 eV per formula unit.

Cell lengths 3.882, 3.882, 9.139 Å; angles 77.74, 77.74, 90.00 degrees
Atoms (fractional coordinates):
Tl 0.390 0.390 0.221
Tl 0.610 0.610 0.779
Au 0.750 0.250 0.500
Au 0.250 0.750 0.500
Sn 0.000 0.000 0.000


Record 18
Below is a relaxed structure of Tl2Sn6Au, with properties calculated at the GGA-PBE level.

Calculated values
The energy of formation from the pure elements comes out at -32 meV per atom. For the volume, the calculation gives 255.0 Å³ per cell.

Cell lengths 6.298, 6.839, 6.839 Å; angles 59.97, 89.97, 89.97 degrees
Atoms (fractional coordinates):
Tl 0.834 0.668 0.668
Tl 0.166 0.332 0.332
Sn 0.315 0.349 0.825
Sn 0.317 0.827 0.827
Sn 0.315 0.825 0.349
Sn 0.685 0.651 0.175
Sn 0.683 0.173 0.173
Sn 0.685 0.175 0.651
Au 0.000 0.000 0.000


Record 19
Below is a relaxed structure of Tl2SnAu2, with properties calculated at the GGA-PBE level.

Calculated values
The energy of formation from the pure elements comes out at -79 meV per atom. For the volume, the calculation gives 136.3 Å³ per cell. Its relative energy among the computed polymorphs is 0.00 eV per formula unit.

Cell lengths 4.510, 4.213, 8.540 Å; angles 76.27, 89.28, 60.59 degrees
Atoms (fractional coordinates):
Tl 0.788 0.422 0.355
Tl 0.212 0.578 0.645
Sn 0.000 0.000 0.000
Au 0.391 0.221 0.161
Au 0.609 0.779 0.839


Record 20
Below is a relaxed structure of Tl6Sn2Au, with properties calculated at the GGA-PBE level.

Calculated values
The energy of formation from the pure elements comes out at 8 meV per atom. For the volume, the calculation gives 541.9 Å³ per cell.

Cell lengths 6.326, 7.060, 13.222 Å; angles 90.00, 113.42, 90.00 degrees
Atoms (fractional coordinates):
Tl 0.804 0.000 0.141
Tl 0.773 0.746 0.609
Tl 0.727 0.754 0.891
Tl 0.773 0.254 0.609
Tl 0.727 0.246 0.891
Tl 0.696 0.500 0.359
Tl 0.196 0.000 0.859
Tl 0.227 0.254 0.391
Tl 0.273 0.246 0.109
Tl 0.227 0.746 0.391
Tl 0.273 0.754 0.109
Tl 0.304 0.500 0.641
Sn 0.081 0.500 0.826
Sn 0.419 0.000 0.674
Sn 0.581 0.000 0.326
Sn 0.919 0.500 0.174
Au 0.500 0.500 0.000
Au 0.000 0.000 0.500


Record 21
Below is a relaxed structure of TlSn2Au4, with properties calculated at the GGA-PBE level.

Calculated values
The energy of formation from the pure elements comes out at -88 meV per atom. For the volume, the calculation gives 642.3 Å³ per cell.

Cell lengths 5.145, 7.135, 18.052 Å; angles 90.00, 90.00, 104.26 degrees
Atoms (fractional coordinates):
Tl 0.764 0.057 0.627
Tl 0.236 0.943 0.373
Tl 0.264 0.557 0.873
Tl 0.736 0.443 0.127
Sn 0.185 0.717 0.549
Sn 0.815 0.283 0.451
Sn 0.685 0.217 0.951
Sn 0.315 0.783 0.049
Sn 0.355 0.013 0.786
Sn 0.645 0.987 0.214
Sn 0.855 0.513 0.714
Sn 0.145 0.487 0.286
Au 0.293 0.287 0.683
Au 0.707 0.713 0.317
Au 0.793 0.787 0.817
Au 0.207 0.213 0.183
Au 0.408 0.709 0.693
Au 0.592 0.291 0.307
Au 0.908 0.209 0.807
Au 0.092 0.791 0.193
Au 0.268 0.128 0.529
Au 0.732 0.872 0.471
Au 0.768 0.628 0.971
Au 0.232 0.372 0.029
Au 0.358 0.500 0.431
Au 0.642 0.500 0.569
Au 0.858 0.000 0.069
Au 0.142 0.000 0.931


Record 22
Below is a relaxed structure of Tl2Sn3Au2, with properties calculated at the GGA-PBE level.

Calculated values
The energy of formation from the pure elements comes out at -72 meV per atom. For the volume, the calculation gives 187.9 Å³ per cell.

Cell lengths 4.414, 6.184, 8.071 Å; angles 112.37, 90.00, 110.91 degrees
Atoms (fractional coordinates):
Tl 0.827 0.653 0.176
Tl 0.173 0.347 0.824
Sn 0.500 0.000 0.000
Sn 0.628 0.255 0.473
Sn 0.372 0.745 0.527
Au 0.882 0.764 0.752
Au 0.118 0.236 0.248